Version 1
Density functional theory data (PBE-GGA) for MgSn3W after structural relaxation.

Results
symmetry = No. 221

a = 5.306 Å, b = 5.306 Å, c = 5.306 Å
α = 90.00°, β = 90.00°, γ = 90.00°
Element x y z (fractional)
Mg1 0.000 0.000 0.000
Sn1 0.000 0.500 0.500
Sn2 0.500 0.000 0.500
Sn3 0.500 0.500 0.000
W1 0.500 0.500 0.500

Version 2
Density functional theory data (PBE-GGA) for MgSn3W after structural relaxation.

Results
symmetry = No. 221

a = 5.249 Å, b = 5.249 Å, c = 5.249 Å
α = 90.00°, β = 90.00°, γ = 90.00°
Element x y z (fractional)
Mg1 0.000 0.000 0.000
Sn1 0.000 0.000 0.500
Sn2 0.000 0.500 0.000
Sn3 0.500 0.000 0.000
W1 0.500 0.500 0.500

Best to worst by energy: version 1, version 2.

Version 1
Density functional theory data (PBE-GGA) for MgSnW2 after structural relaxation.

Results
symmetry = No. 122

a = 6.060 Å, b = 6.060 Å, c = 6.060 Å
α = 101.59°, β = 101.59°, γ = 126.74°
Element x y z (fractional)
Mg1 0.000 0.000 0.000
Mg2 0.750 0.250 0.500
Sn1 0.250 0.750 0.500
Sn2 0.500 0.500 0.000
W1 0.146 0.125 0.521
W2 0.375 0.854 0.979
W3 0.604 0.625 0.479
W4 0.875 0.396 0.021

Version 2
Density functional theory data (PBE-GGA) for MgSnW2 after structural relaxation.

Results
symmetry = No. 225

a = 4.635 Å, b = 4.635 Å, c = 4.635 Å
α = 60.00°, β = 60.00°, γ = 60.00°
Element x y z (fractional)
Mg1 0.000 0.000 0.000
Sn1 0.500 0.500 0.500
W1 0.250 0.250 0.250
W2 0.750 0.750 0.750

Best to worst by energy: version 2, version 1.

Version 1
Density functional theory data (PBE-GGA) for YMg2Sn2 after structural relaxation.

Results
symmetry = No. 139

a = 7.285 Å, b = 7.285 Å, c = 7.285 Å
α = 144.73°, β = 144.73°, γ = 50.73°
Element x y z (fractional)
Y1 0.000 0.000 0.000
Mg1 0.250 0.750 0.500
Mg2 0.750 0.250 0.500
Sn1 0.393 0.393 0.000
Sn2 0.607 0.607 0.000

Version 2
Density functional theory data (PBE-GGA) for YMg2Sn2 after structural relaxation.

Results
symmetry = No. 127

a = 8.460 Å, b = 8.460 Å, c = 3.443 Å
α = 90.00°, β = 90.00°, γ = 90.00°
Element x y z (fractional)
Y1 0.000 0.000 0.000
Y2 0.500 0.500 0.000
Mg1 0.121 0.379 0.000
Mg2 0.379 0.879 0.000
Mg3 0.621 0.121 0.000
Mg4 0.879 0.621 0.000
Sn1 0.177 0.677 0.500
Sn2 0.323 0.177 0.500
Sn3 0.677 0.823 0.500
Sn4 0.823 0.323 0.500

Version 3
Density functional theory data (PBE-GGA) for YMg2Sn2 after structural relaxation.

Results
symmetry = No. 194

a = 4.981 Å, b = 4.981 Å, c = 12.744 Å
α = 90.00°, β = 90.00°, γ = 120.00°
Element x y z (fractional)
Y1 0.000 0.000 0.250
Y2 0.000 0.000 0.750
Mg1 0.000 0.000 0.000
Mg2 0.000 0.000 0.500
Mg3 0.333 0.667 0.250
Mg4 0.667 0.333 0.750
Sn1 0.333 0.667 0.626
Sn2 0.333 0.667 0.874
Sn3 0.667 0.333 0.126
Sn4 0.667 0.333 0.374

Version 4
Density functional theory data (PBE-GGA) for YMg2Sn2 after structural relaxation.

Results
symmetry = No. 63

a = 12.680 Å, b = 12.680 Å, c = 4.458 Å
α = 90.00°, β = 90.00°, γ = 159.92°
Element x y z (fractional)
Y1 0.152 0.848 0.750
Y2 0.848 0.152 0.250
Mg1 0.045 0.955 0.250
Mg2 0.454 0.546 0.250
Mg3 0.546 0.454 0.750
Mg4 0.955 0.045 0.750
Sn1 0.249 0.751 0.250
Sn2 0.373 0.627 0.750
Sn3 0.627 0.373 0.250
Sn4 0.751 0.249 0.750

Best to worst by energy: version 4, version 1, version 2, version 3.